Record 1
The following is a DFT calculation (PBE) of an optimized crystal structure of Li2SnHg.

```
Li2SnHg
1.0
-3.842 3.842 2.969
3.842 -3.842 2.969
3.842 3.842 -2.969
Li Sn Hg
4 2 2
direct
0.110 0.625 0.985
0.375 0.360 0.485
0.640 0.125 0.015
0.875 0.890 0.515
0.250 0.750 0.500
0.500 0.500 0.000
0.000 0.000 0.000
0.750 0.250 0.500
```

Results
* electronic total energy: -2.1894 eV per atom
* E_form: -0.156 eV/atom

***

Record 2
The following is a DFT calculation (PBE) of an optimized crystal structure of Bi3AuS6.

```
Bi3AuS6
1.0
5.605 -6.728 0.000
5.605 6.728 0.000
0.000 0.000 6.722
Bi Au S
6 2 12
direct
0.098 0.902 0.500
0.180 0.429 0.432
0.429 0.180 0.932
0.571 0.820 0.432
0.820 0.571 0.932
0.902 0.098 0.000
0.368 0.632 0.933
0.632 0.368 0.433
0.103 0.602 0.740
0.131 0.184 0.710
0.184 0.131 0.210
0.279 0.721 0.247
0.398 0.897 0.740
0.474 0.526 0.632
0.526 0.474 0.132
0.602 0.103 0.240
0.721 0.279 0.747
0.816 0.869 0.710
0.869 0.816 0.210
0.897 0.398 0.240
```

Results
* electronic total energy: -4.0829 eV per atom
* uncorrected formation energy: -0.11 eV/atom

***

Record 3
The following is a DFT calculation (PBE) of an optimized crystal structure of SmHPd2Pt.

```
SmHPd2Pt
1.0
4.225 0.000 0.000
0.000 4.225 0.000
0.000 0.000 4.191
Sm H Pd Pt
1 1 2 1
direct
0.000 0.000 0.000
0.500 0.500 0.500
0.000 0.500 0.500
0.500 0.000 0.500
0.500 0.500 0.000
```

Results
* electronic total energy: -5.5712 eV per atom

***

Record 4
The following is a DFT calculation (PBE) of an optimized crystal structure of NpH2I3.

```
NpH2I3
1.0
7.743 0.000 0.000
-0.011 10.215 0.000
-0.091 -4.809 9.015
Np H I
2 4 6
direct
0.000 0.000 0.000
0.500 0.000 0.000
0.202 0.340 0.663
0.298 0.338 0.658
0.702 0.662 0.342
0.798 0.660 0.337
0.248 0.730 0.869
0.249 0.139 0.861
0.253 0.131 0.270
0.747 0.869 0.730
0.751 0.861 0.139
0.752 0.270 0.131
```

Results
* electronic total energy: -4.6281 eV per atom

***

Record 5
The following is a DFT calculation (PBE) of an optimized crystal structure of KBaTc.

```
KBaTc
1.0
5.619 0.000 0.000
-2.809 4.866 0.000
0.000 0.000 3.598
K Ba Tc
1 1 1
direct
0.000 0.000 0.000
0.333 0.667 0.619
0.667 0.333 0.311
```

Results
* electronic total energy: -3.1628 eV per atom
* E_form: 1.299 eV/atom

***

Record 6
The following is a DFT calculation (PBE) of an optimized crystal structure of LiPRh.

```
LiPRh
1.0
3.621 0.000 0.000
-1.811 3.136 0.000
0.000 0.000 4.510
Li P Rh
1 1 1
direct
0.000 0.000 0.000
0.333 0.667 0.345
0.667 0.333 0.516
```

Results
* electronic total energy: -5.3425 eV per atom
* E_form: -0.451 eV/atom

***

Record 7
The following is a DFT calculation (PBE) of an optimized crystal structure of Sm2EuHg.

```
Sm2EuHg
1.0
4.988 0.000 0.000
0.000 4.988 0.000
0.000 0.000 4.839
Sm Eu Hg
2 1 1
direct
0.000 0.500 0.000
0.500 0.000 0.000
0.000 0.000 0.500
0.500 0.500 0.500
```

Results
* electronic total energy: -5.1309 eV per atom
* E_form: -0.127 eV/atom

***

Record 8
The following is a DFT calculation (PBE) of an optimized crystal structure of Ge2PPd.

```
Ge2PPd
1.0
1.446 0.835 9.361
-1.446 0.835 9.361
0.000 -1.670 9.361
Ge P Pd
2 1 1
direct
0.091 0.091 0.091
0.909 0.909 0.909
0.000 0.000 0.000
0.500 0.500 0.500
```

Results
* electronic total energy: -4.8249 eV per atom
* E_form: 0.134 eV/atom

***

Record 9
The following is a DFT calculation (PBE) of an optimized crystal structure of Er3Fe5Se12.

```
Er3Fe5Se12
1.0
-7.673 7.673 7.673
7.673 -7.673 7.673
7.673 7.673 -7.673
Er Fe Se
12 20 48
direct
0.125 0.250 0.375
0.125 0.375 0.750
0.250 0.375 0.125
0.250 0.875 0.625
0.375 0.125 0.250
0.375 0.750 0.125
0.625 0.250 0.875
0.625 0.875 0.750
0.750 0.125 0.375
0.750 0.625 0.875
0.875 0.625 0.250
0.875 0.750 0.625
0.000 0.000 0.000
0.000 0.000 0.500
0.000 0.500 0.000
0.000 0.500 0.500
0.125 0.750 0.875
0.125 0.875 0.250
0.250 0.125 0.875
0.250 0.625 0.375
0.375 0.250 0.625
0.375 0.625 0.750
0.500 0.000 0.000
0.500 0.000 0.500
0.500 0.500 0.000
0.500 0.500 0.500
0.625 0.375 0.250
0.625 0.750 0.375
0.750 0.375 0.625
0.750 0.875 0.125
0.875 0.125 0.750
0.875 0.250 0.125
0.030 0.203 0.119
0.030 0.326 0.911
0.085 0.703 0.674
0.085 0.881 0.411
0.089 0.619 0.415
0.089 0.970 0.674
0.119 0.030 0.203
0.119 0.589 0.915
0.174 0.203 0.585
0.174 0.470 0.589
0.203 0.119 0.030
0.203 0.585 0.174
0.297 0.326 0.915
0.297 0.470 0.381
0.326 0.911 0.030
0.326 0.915 0.297
0.381 0.297 0.470
0.381 0.585 0.911
0.411 0.085 0.881
0.411 0.826 0.530
0.415 0.089 0.619
0.415 0.826 0.797
0.470 0.381 0.297
0.470 0.589 0.174
0.530 0.411 0.826
0.530 0.619 0.703
0.585 0.174 0.203
0.585 0.911 0.381
0.589 0.174 0.470
0.589 0.915 0.119
0.619 0.415 0.089
0.619 0.703 0.530
0.674 0.085 0.703
0.674 0.089 0.970
0.703 0.530 0.619
0.703 0.674 0.085
0.797 0.415 0.826
0.797 0.881 0.970
0.826 0.530 0.411
0.826 0.797 0.415
0.881 0.411 0.085
0.881 0.970 0.797
0.911 0.030 0.326
0.911 0.381 0.585
0.915 0.119 0.589
0.915 0.297 0.326
0.970 0.674 0.089
0.970 0.797 0.881
```

Results
* electronic total energy: -5.5906 eV per atom
* uncorrected formation energy: -0.70 eV/atom

***

Record 10
The following is a DFT calculation (PBE) of an optimized crystal structure of CaPrCd14.

```
CaPrCd14
1.0
6.686 0.000 0.000
0.000 6.686 0.000
0.000 0.000 8.550
Ca Pr Cd
1 1 14
direct
0.000 0.000 0.000
0.500 0.500 0.000
0.000 0.000 0.500
0.000 0.500 0.000
0.000 0.500 0.500
0.248 0.248 0.264
0.248 0.248 0.736
0.248 0.752 0.264
0.248 0.752 0.736
0.500 0.000 0.000
0.500 0.000 0.500
0.500 0.500 0.500
0.752 0.248 0.264
0.752 0.248 0.736
0.752 0.752 0.264
0.752 0.752 0.736
```

Results
* electronic total energy: -1.3667 eV per atom
* E_form: -0.142 eV/atom

***

Record 11
The following is a DFT calculation (PBE) of an optimized crystal structure of DyTh2S4.

```
DyTh2S4
1.0
1.917 -6.623 0.000
1.917 6.623 0.000
0.000 0.000 13.506
Dy Th S
2 4 8
direct
0.122 0.878 0.750
0.878 0.122 0.250
0.360 0.640 0.568
0.360 0.640 0.932
0.640 0.360 0.068
0.640 0.360 0.432
0.000 0.000 0.000
0.000 0.000 0.500
0.285 0.715 0.131
0.285 0.715 0.369
0.470 0.530 0.750
0.530 0.470 0.250
0.715 0.285 0.631
0.715 0.285 0.869
```

Results
* electronic total energy: -6.9858 eV per atom
* uncorrected formation energy: -1.85 eV/atom

***

Record 12
The following is a DFT calculation (PBE) of an optimized crystal structure of LaNb2SiCl.

```
LaNb2SiCl
1.0
5.092 0.000 0.000
0.000 5.092 0.000
0.000 0.000 5.325
La Nb Si Cl
1 2 1 1
direct
0.000 0.000 0.000
0.000 0.500 0.000
0.500 0.000 0.000
0.000 0.000 0.500
0.500 0.500 0.500
```

Results
* electronic total energy: -4.5969 eV per atom
* uncorrected formation energy: 1.87 eV/atom